Computed, not measured: a relaxed structure of GaSbAu2S at the PBE level of DFT.

Cell lengths 4.734, 5.665, 4.734 Å; angles 90.00, 90.00, 90.00 degrees
Element x y z (fractional)
Sb (0.000, 0.500, 0.000)
S (0.000, 0.000, 0.000)
Au (0.000, 0.000, 0.500)
Au (0.500, 0.000, 0.000)
Ga (0.500, 0.500, 0.500)

DOS at the Fermi energy, states/eV per atom: 0.676
SG: P4/mmm (123)
Formation energy (no corrections), meV per atom: 426

---

Computed, not measured: a relaxed structure of ScGaAuS2 at the PBE level of DFT.

Cell lengths 4.716, 4.851, 4.716 Å; angles 90.00, 90.00, 90.00 degrees
Element x y z (fractional)
Sc (0.500, 0.500, 0.500)
S (0.000, 0.000, 0.500)
S (0.500, 0.000, 0.000)
Au (0.000, 0.500, 0.000)
Ga (0.000, 0.000, 0.000)

DOS at the Fermi energy, states/eV per atom: 0.719
SG: P4/mmm (123)
Formation energy (no corrections), meV per atom: -120

---

Computed, not measured: a relaxed structure of Ga2SnAuS6 at the PBE level of DFT.

Cell lengths 6.478, 8.421, 8.421 Å; angles 86.98, 79.55, 79.55 degrees
Element x y z (fractional)
Ga (0.201, 0.783, 0.604)
Ga (0.299, 0.396, 0.217)
Ga (0.799, 0.217, 0.396)
Ga (0.701, 0.604, 0.783)
Sn (0.250, 0.268, 0.732)
Sn (0.750, 0.732, 0.268)
Au (0.250, 0.885, 0.115)
Au (0.750, 0.115, 0.885)
S (0.115, 0.985, 0.798)
S (0.385, 0.202, 0.015)
S (0.885, 0.015, 0.202)
S (0.615, 0.798, 0.985)
S (0.393, 0.893, 0.384)
S (0.107, 0.616, 0.107)
S (0.607, 0.107, 0.616)
S (0.893, 0.384, 0.893)
S (0.885, 0.716, 0.557)
S (0.615, 0.443, 0.284)
S (0.115, 0.284, 0.443)
S (0.385, 0.557, 0.716)

DOS at the Fermi energy, states/eV per atom: 0.295
SG: C2/c (15)
Formation energy (no corrections), meV per atom: -304